The following is a PBE with a Hubbard U calculation of an optimized crystal structure of HoCrBrO4, from Alexandria via LeMat-Bulk.

Computed properties:
Energy   -6.723 eV/atom
SG   C2/m (12)

POSCAR file:
```
HoCrBrO4
1.0
6.217 0.031 -0.123
2.088 5.856 -0.123
1.556 1.103 6.453
Ho Cr Br O
2 2 2 8
direct
0.234 0.234 0.879
0.766 0.766 0.121
0.639 0.639 0.733
0.361 0.361 0.267
0.016 0.016 0.245
0.984 0.984 0.755
0.291 0.291 0.517
0.709 0.709 0.483
0.126 0.494 0.147
0.528 0.528 0.226
0.506 0.874 0.853
0.494 0.126 0.147
0.472 0.472 0.774
0.874 0.506 0.853
```